No. 1
A relaxed structure of GdTmSnAu, computed with GGA-PBE.

Calculated values
ΔE_f: -0.7228 eV/atom
Uncorrected energy: -7.181 eV/atom

```
data_GdTmSnAu
_cell_length_a 7.362
_cell_length_b 7.362
_cell_length_c 7.362
_cell_angle_alpha 90.00
_cell_angle_beta 90.00
_cell_angle_gamma 90.00
_symmetry_space_group_name_H-M 'F -4 3 m'
_symmetry_Int_Tables_number 216
_symmetry_space_group_name_Hall 'F -4 2 3'
loop_
_atom_site_label
_atom_site_fract_x
_atom_site_fract_y
_atom_site_fract_z
Gd1 0.000 0.000 0.000
Tm1 0.000 0.000 0.500
Sn1 0.250 0.250 0.250
Au1 0.250 0.250 0.750
```

No. 2
A relaxed structure of GdZnSnAu, computed with GGA-PBE.

Calculated values
ΔE_f: -0.5081 eV/atom
Uncorrected energy: -6.167 eV/atom

```
data_GdZnSnAu
_cell_length_a 7.040
_cell_length_b 7.040
_cell_length_c 7.040
_cell_angle_alpha 90.00
_cell_angle_beta 90.00
_cell_angle_gamma 90.00
_symmetry_space_group_name_H-M 'F -4 3 m'
_symmetry_Int_Tables_number 216
_symmetry_space_group_name_Hall 'F -4 2 3'
loop_
_atom_site_label
_atom_site_fract_x
_atom_site_fract_y
_atom_site_fract_z
Gd1 0.000 0.000 0.000
Zn1 0.250 0.250 0.750
Sn1 0.000 0.000 0.500
Au1 0.250 0.250 0.250
```

What is the uncorrected energy in the first record? -7.181 eV/atom